*w*
This record from OQMD via LeMat-Bulk describes a geometry-optimized W2SeS3 structure. The functional is PBE-GGA.

a = 5.5630 Å, b = 3.2154 Å, c = 9.8869 Å
α = 90.00°, β = 106.25°, γ = 90.00°
Fractional positions:
S (0.8234, 0.0000, 0.1610)
S (0.6586, 0.0000, 0.8314)
S (0.1604, 0.5000, 0.8347)
Se (0.3335, 0.5000, 0.1796)
W (0.0720, 0.0000, 0.9965)
W (0.5775, 0.5000, 0.9967)

Computed properties:
Space group: No. 6

=====

*x*
This record from OQMD via LeMat-Bulk describes a geometry-optimized W2SeS3 structure. The functional is PBE-GGA.

a = 3.2163 Å, b = 3.2163 Å, c = 22.0894 Å
α = 90.00°, β = 90.00°, γ = 60.01°
Fractional positions:
S (0.7432, 0.7432, 0.0710)
S (0.2432, 0.2432, 0.4266)
S (0.7432, 0.7432, 0.9290)
Se (0.2432, 0.2432, 0.5763)
W (0.0764, 0.0764, 0.0000)
W (0.5764, 0.5764, 0.4971)

Computed properties:
Space group: No. 8

=====

Out of the structures above, which one is the most stable? Solution: *w*.